1.
# ZrIn2 | Alexandria | GGA-PBE | relaxed
data_ZrIn2
_chemical_formula_sum 'Zr1 In2'
_cell_length_a 4.9991
_cell_length_b 4.9991
_cell_length_c 3.1573
_cell_angle_alpha 90.00
_cell_angle_beta 90.00
_cell_angle_gamma 120.00
_space_group_name_H-M_alt 'P 6/m m m'
_space_group_IT_number 191
_space_group_name_Hall '-P 6 2'
loop_
_atom_site_label
_atom_site_type_symbol
_atom_site_fract_x
_atom_site_fract_y
_atom_site_fract_z
Zr1 Zr 0.0000 0.0000 0.0000
In1 In 0.3333 0.6667 0.5000
# spin magnetization	0.00	μB per cell
# total energy	-4.762	eV/atom

2.
# PuIn3Br6 | Alexandria | GGA-PBE | relaxed
data_PuIn3Br6
_chemical_formula_sum 'Pu4 In12 Br24'
_cell_length_a 9.661
_cell_length_b 11.749
_cell_length_c 14.830
_cell_angle_alpha 90.00
_cell_angle_beta 90.00
_cell_angle_gamma 90.00
_space_group_name_H-M_alt 'F m m m'
_space_group_IT_number 69
_space_group_name_Hall '-F 2 2'
loop_
_atom_site_label
_atom_site_type_symbol
_atom_site_fract_x
_atom_site_fract_y
_atom_site_fract_z
Pu1 Pu 0.000 0.000 0.000
In1 In 0.000 0.000 0.500
In2 In 0.250 0.250 0.250
Br1 Br 0.000 0.240 0.000
Br2 Br 0.220 0.000 0.133
# formation energy from raw total energies	-0.92	eV/atom
# spin magnetization	20.01	μB per cell
# total energy	-4.182	eV/atom

3.
# La3DyTl | Alexandria | GGA-PBE | relaxed
data_La3DyTl
_chemical_formula_sum 'La12 Dy4 Tl4'
_cell_length_a 14.637
_cell_length_b 8.339
_cell_length_c 6.581
_cell_angle_alpha 90.00
_cell_angle_beta 113.07
_cell_angle_gamma 90.00
_space_group_name_H-M_alt 'C 1 2/m 1'
_space_group_IT_number 12
loop_
_space_group_symop_operation_xyz
'x,y,z'
'-x,-y,-z'
'-x,y,-z'
'x,-y,z'
'x+1/2,y+1/2,z'
'-x+1/2,-y+1/2,-z'
'-x+1/2,y+1/2,-z'
'x+1/2,-y+1/2,z'
loop_
_atom_site_label
_atom_site_type_symbol
_atom_site_fract_x
_atom_site_fract_y
_atom_site_fract_z
La1 La 0.000 0.000 0.000
La2 La 0.000 0.185 0.500
La3 La 0.000 0.500 0.000
La4 La 0.211 0.000 0.510
Dy1 Dy 0.250 0.250 0.000
Tl1 Tl 0.121 0.500 0.659
# spin magnetization	0.00	μB per cell
# total energy	-4.227	eV/atom

4.
# Al2Mo | Alexandria | GGA-PBE | relaxed
data_Al2Mo
_chemical_formula_sum 'Al8 Mo4'
_cell_length_a 6.443
_cell_length_b 6.443
_cell_length_c 5.528
_cell_angle_alpha 90.00
_cell_angle_beta 90.00
_cell_angle_gamma 90.00
_space_group_name_H-M_alt 'I 4/m c m'
_space_group_IT_number 140
_space_group_name_Hall '-I 4 2c'
loop_
_atom_site_label
_atom_site_type_symbol
_atom_site_fract_x
_atom_site_fract_y
_atom_site_fract_z
Al1 Al 0.249 0.251 0.000
Mo1 Mo 0.000 0.000 0.250
# spin magnetization	0.00	μB per cell
# total energy	-6.182	eV/atom

5.
# Mg8AlTl2 | Alexandria | GGA-PBE | relaxed
data_Mg8AlTl2
_chemical_formula_sum 'Mg16 Al2 Tl4'
_cell_length_a 16.268
_cell_length_b 4.494
_cell_length_c 7.197
_cell_angle_alpha 90.00
_cell_angle_beta 107.42
_cell_angle_gamma 90.00
_space_group_name_H-M_alt 'C 1 2/m 1'
_space_group_IT_number 12
loop_
_space_group_symop_operation_xyz
'x,y,z'
'-x,-y,-z'
'-x,y,-z'
'x,-y,z'
'x+1/2,y+1/2,z'
'-x+1/2,-y+1/2,-z'
'-x+1/2,y+1/2,-z'
'x+1/2,-y+1/2,z'
loop_
_atom_site_label
_atom_site_type_symbol
_atom_site_fract_x
_atom_site_fract_y
_atom_site_fract_z
Mg1 Mg 0.040 0.000 0.238
Mg2 Mg 0.089 0.500 0.946
Mg3 Mg 0.137 0.000 0.682
Mg4 Mg 0.175 0.500 0.415
Al1 Al 0.000 0.500 0.500
Tl1 Tl 0.217 0.000 0.151
# spin magnetization	0.00	μB per cell
# total energy	-1.938	eV/atom

6.
# TbAg2Au | Alexandria | GGA-PBE | relaxed
data_TbAg2Au
_chemical_formula_sum 'Tb4 Ag8 Au4'
_cell_length_a 6.903
_cell_length_b 6.903
_cell_length_c 6.903
_cell_angle_alpha 90.00
_cell_angle_beta 90.00
_cell_angle_gamma 90.00
_space_group_name_H-M_alt 'F m -3 m'
_space_group_IT_number 225
_space_group_name_Hall '-F 4 2 3'
loop_
_atom_site_label
_atom_site_type_symbol
_atom_site_fract_x
_atom_site_fract_y
_atom_site_fract_z
Tb1 Tb 0.000 0.000 0.000
Ag1 Ag 0.250 0.250 0.250
Au1 Au 0.000 0.000 0.500
# spin magnetization	0.00	μB per cell
# total energy	-3.735	eV/atom

7.
# Rb4NdPa3O12 | Alexandria | GGA-PBE | relaxed
data_Rb4NdPa3O12
_chemical_formula_sum 'Rb8 Nd2 Pa6 O24'
_cell_length_a 8.911
_cell_length_b 8.911
_cell_length_c 8.911
_cell_angle_alpha 90.00
_cell_angle_beta 90.00
_cell_angle_gamma 90.00
_space_group_name_H-M_alt 'I m -3 m'
_space_group_IT_number 229
_space_group_name_Hall '-I 4 2 3'
loop_
_atom_site_label
_atom_site_type_symbol
_atom_site_fract_x
_atom_site_fract_y
_atom_site_fract_z
Rb1 Rb 0.250 0.250 0.250
Nd1 Nd 0.000 0.000 0.000
Pa1 Pa 0.000 0.000 0.500
O1 O 0.000 0.000 0.266
O2 O 0.000 0.250 0.500
# formation energy from raw total energies	-2.82	eV/atom
# spin magnetization	0.01	μB per cell
# total energy	-7.648	eV/atom

8.
# MgAlTlHg | Alexandria | GGA-PBE | relaxed
data_MgAlTlHg
_chemical_formula_sum 'Mg4 Al4 Tl4 Hg4'
_cell_length_a 7.121
_cell_length_b 7.121
_cell_length_c 7.121
_cell_angle_alpha 90.00
_cell_angle_beta 90.00
_cell_angle_gamma 90.00
_space_group_name_H-M_alt 'F -4 3 m'
_space_group_IT_number 216
_space_group_name_Hall 'F -4 2 3'
loop_
_atom_site_label
_atom_site_type_symbol
_atom_site_fract_x
_atom_site_fract_y
_atom_site_fract_z
Mg1 Mg 0.000 0.000 0.000
Al1 Al 0.000 0.000 0.500
Tl1 Tl 0.250 0.250 0.250
Hg1 Hg 0.250 0.250 0.750
# spin magnetization	0.00	μB per cell
# total energy	-1.904	eV/atom

- Among the records above, which one has the highest spin magnetization?
  PuIn3Br6

- What is the total energy in the seventh record?
  -7.648 eV/atom

- Look up the total energy of the second one.
  -4.182 eV/atom

- What is the formula in the eighth record?
  MgAlTlHg